(1)
DFT (GGA-PBE) results for crystalline Pr2BiIr at its relaxed geometry.

Summary:
Offset from the most stable computed form: 0.030 eV/atom
ΔH_f (0 K): -0.59 eV/atom
Magnetization: 0.00 μB per formula unit
DOS at the Fermi energy: 0.429 states/eV per atom
Space group: No. 166

Structure (extended XYZ):
```
4
Lattice="-4.100 -1.525 0.277 -0.866 -3.525 2.457 -2.872 2.635 6.678" Properties=species:S:1:pos:R:3 pbc="T T T"
Bi 0.000 0.000 0.000
Pr -5.831 -1.979 6.835
Pr -2.007 -0.436 2.578
Ir -3.919 -1.208 4.706
```


(2)
DFT (GGA-PBE) results for crystalline Pr3BiIr at its relaxed geometry.

Summary:
Offset from the most stable computed form: 0.230 eV/atom
ΔH_f (0 K): -0.47 eV/atom
Magnetization: 0.00 μB per formula unit
DOS at the Fermi energy: 1.061 states/eV per atom
Space group: No. 221

Structure (extended XYZ):
```
5
Lattice="-4.018 -3.881 0.191 1.350 -1.653 -5.165 3.643 -3.667 2.126" Properties=species:S:1:pos:R:3 pbc="T T T"
Pr -2.009 -1.940 0.096
Pr 1.822 -1.833 1.063
Pr 0.675 -0.826 -2.583
Bi 0.488 -4.600 -1.424
Ir 0.000 0.000 0.000
```


(3)
DFT (GGA-PBE) results for crystalline Pr4BiIr at its relaxed geometry.

Summary:
ΔH_f (0 K): -0.48 eV/atom
Magnetization: 0.00 μB per formula unit
DOS at the Fermi energy: 0.845 states/eV per atom
Space group: No. 15

Structure (extended XYZ):
```
12
Lattice="6.106 -0.001 0.000 -0.001 8.016 0.494 -3.052 -2.777 7.792" Properties=species:S:1:pos:R:3 pbc="T T T"
Pr -0.840 2.114 6.831
Pr 2.284 1.102 5.121
Pr 0.768 4.136 3.165
Pr -0.769 0.129 2.920
Pr 3.822 5.109 5.366
Pr 0.843 -1.893 6.584
Pr 2.210 7.130 1.702
Pr 3.892 3.124 1.455
Ir 1.527 -1.389 3.896
Ir -1.527 2.619 4.143
Bi 0.796 2.003 0.124
Bi 2.256 3.234 8.162
```


(4)
DFT (GGA-PBE) results for crystalline PrBiIr4 at its relaxed geometry.

Summary:
ΔH_f (0 K): -0.21 eV/atom
Magnetization: 0.00 μB per formula unit
DOS at the Fermi energy: 0.973 states/eV per atom
Space group: No. 216

Structure (extended XYZ):
```
6
Lattice="-4.372 -2.733 -1.740 -0.547 -5.287 1.168 -3.786 -1.623 3.555" Properties=species:S:1:pos:R:3 pbc="T T T"
Bi 0.000 0.000 0.000
Ir -5.170 -3.379 1.280
Ir -3.251 -4.660 2.739
Ir -3.545 -5.216 0.083
Ir -5.445 -6.031 1.866
Pr -2.176 -2.411 0.746
```


(5)
DFT (GGA-PBE) results for crystalline Pr2BiIr at its relaxed geometry.

Summary:
Offset from the most stable computed form: 0.000 eV/atom
ΔH_f (0 K): -0.62 eV/atom
Magnetization: 0.00 μB per formula unit
DOS at the Fermi energy: 0.527 states/eV per atom
Space group: No. 123

Structure (extended XYZ):
```
4
Lattice="-0.721 -3.090 1.737 3.359 -0.028 1.343 -2.628 4.360 6.666" Properties=species:S:1:pos:R:3 pbc="T T T"
Bi 0.005 0.621 4.873
Ir 1.319 -1.559 1.540
Pr -0.541 0.897 1.372
Pr -2.087 3.463 5.294
```


(6)
DFT (GGA-PBE) results for crystalline Pr6BiTe3Ir2 at its relaxed geometry.

Summary:
Magnetization: 0.00 μB per formula unit
DOS at the Fermi energy: 0.408 states/eV per atom
Energy relative to the elements, uncorrected: -1.07 eV per atom
Space group: No. 12

Structure (extended XYZ):
```
12
Lattice="-3.315 0.015 2.865 -2.430 -8.368 -2.767 8.034 -1.348 5.952" Properties=species:S:1:pos:R:3 pbc="T T T"
Pr 2.050 -8.215 2.416
Pr -0.766 -5.191 2.492
Pr 2.691 -7.474 6.504
Pr 0.239 -1.486 3.634
Pr -0.402 -2.227 -0.453
Pr 3.055 -4.510 3.558
Te -2.873 -4.177 0.049
Te -0.008 -7.438 0.031
Te 2.297 -2.263 6.020
Bi -1.658 0.008 1.433
Ir 1.346 -3.291 1.575
Ir 0.943 -6.410 4.475
```


(7)
DFT (GGA-PBE) results for crystalline BiIrPt3 at its relaxed geometry.

Summary:
Offset from the most stable computed form: 0.000 eV/atom
ΔH_f (0 K): 0.94 eV/atom
Magnetization: 1.00 μB per formula unit
DOS at the Fermi energy: 1.400 states/eV per atom
Space group: No. 221

Structure (extended XYZ):
```
5
Lattice="-0.686 -3.892 -2.854 -1.713 -2.499 3.820 -4.513 1.540 -1.016" Properties=species:S:1:pos:R:3 pbc="T T T"
Bi -3.456 -2.426 -0.026
Ir 0.000 0.000 0.000
Pt -0.343 -1.946 -1.427
Pt -0.857 -1.249 1.910
Pt -2.256 0.770 -0.508
```


(8)
DFT (GGA-PBE) results for crystalline Bi6IrPt3 at its relaxed geometry.

Summary:
ΔH_f (0 K): -0.10 eV/atom
Magnetization: 0.00 μB per formula unit
DOS at the Fermi energy: 0.590 states/eV per atom
Space group: No. 14

Structure (extended XYZ):
```
20
Lattice="-3.821 0.179 -6.386 4.009 -4.796 -2.533 -5.949 -6.977 3.797" Properties=species:S:1:pos:R:3 pbc="T T T"
Bi -4.519 -1.653 -4.347
Bi 0.242 -2.155 -1.699
Bi -6.003 -9.440 -3.423
Bi -2.037 -4.139 -4.691
Bi -1.610 -4.530 -0.406
Bi -3.724 -7.455 -0.430
Bi -5.390 -4.661 -2.522
Bi -1.242 -9.941 -0.775
Bi -0.371 -6.934 -2.600
Bi -7.364 -6.890 -1.152
Bi -4.151 -7.064 -4.716
Bi 1.603 -4.705 -3.970
Pt -6.980 -6.853 -4.005
Pt 1.218 -4.742 -1.117
Pt -2.740 -2.682 -2.303
Pt 0.094 -2.309 -4.459
Pt -2.974 -3.488 1.898
Pt -3.021 -8.913 -2.819
Ir 0.000 0.000 0.000
Ir -2.881 -5.797 -2.561
```


(9)
DFT (GGA-PBE) results for crystalline Bi2IrPt at its relaxed geometry.

Summary:
ΔH_f (0 K): 0.35 eV/atom
Magnetization: 0.00 μB per formula unit
DOS at the Fermi energy: 0.573 states/eV per atom
Space group: No. 122

Structure (extended XYZ):
```
8
Lattice="6.550 0.000 0.000 0.000 6.550 0.000 3.275 3.275 5.388" Properties=species:S:1:pos:R:3 pbc="T T T"
Pt 6.550 3.275 2.694
Pt 0.000 0.000 0.000
Ir 3.275 3.275 0.000
Ir 3.275 6.550 2.694
Bi 4.866 1.637 1.347
Bi 4.912 4.959 4.041
Bi 8.187 8.141 4.041
Bi 1.684 4.912 1.347
```


(10)
DFT (GGA-PBE) results for crystalline Bi6IrPt at its relaxed geometry.

Summary:
Offset from the most stable computed form: 0.000 eV/atom
ΔH_f (0 K): -0.09 eV/atom
Magnetization: 0.00 μB per formula unit
DOS at the Fermi energy: 0.588 states/eV per atom
Space group: No. 12

Structure (extended XYZ):
```
16
Lattice="-5.181 3.511 -5.836 5.907 -4.769 -3.947 -4.594 -4.951 5.295" Properties=species:S:1:pos:R:3 pbc="T T T"
Ir -2.297 -2.475 2.647
Ir -1.934 -3.104 -2.244
Bi -3.185 -0.709 -1.719
Bi -3.186 0.398 -5.287
Bi -4.526 -3.844 1.780
Bi -4.290 -4.252 -1.395
Bi 0.423 -1.957 -3.094
Bi 2.494 -5.082 -2.587
Bi -2.776 -2.760 -4.851
Bi -6.361 -1.126 -1.901
Bi -1.091 -3.449 0.362
Bi 0.659 -2.365 -6.269
Bi -0.681 -6.606 0.799
Bi -0.682 -5.500 -2.770
Pt 2.954 -2.385 -1.974
Pt -2.590 1.756 -2.918
```


(11)
DFT (GGA-PBE) results for crystalline Bi2IrPt at its relaxed geometry.

Summary:
ΔH_f (0 K): 0.42 eV/atom
Magnetization: 0.00 μB per formula unit
DOS at the Fermi energy: 0.776 states/eV per atom
Space group: No. 166

Structure (extended XYZ):
```
4
Lattice="-0.852 0.135 -3.560 -2.932 -1.804 -1.251 -6.246 6.533 -0.142" Properties=species:S:1:pos:R:3 pbc="T T T"
Pt 0.000 0.000 0.000
Bi -4.750 4.405 -0.581
Bi -5.281 0.459 -4.372
Ir -5.015 2.432 -2.477
```


(12)
DFT (GGA-PBE) results for crystalline Bi6IrPt at its relaxed geometry.

Summary:
Offset from the most stable computed form: 0.192 eV/atom
ΔH_f (0 K): 0.10 eV/atom
Magnetization: 0.00 μB per formula unit
DOS at the Fermi energy: 0.453 states/eV per atom
Space group: No. 12

Structure (extended XYZ):
```
8
Lattice="-4.498 -1.993 -4.007 5.624 -2.928 0.223 -2.904 -1.586 6.599" Properties=species:S:1:pos:R:3 pbc="T T T"
Bi -3.329 -4.529 1.559
Bi 1.552 -1.978 1.256
Bi -2.267 -1.625 -0.340
Bi -1.813 -2.158 3.862
Bi 0.036 -4.349 -1.046
Bi 0.490 -4.882 3.155
Ir -0.889 -3.254 1.408
Pt 0.000 0.000 0.000
```


Which formula does entry 7 have? BiIrPt3


Which value of magnetization does entry 5 give? 0.00 μB per formula unit


Among the records above, which one has the lowest DOS at the Fermi energy? Pr6BiTe3Ir2


DOS at the Fermi energy of number 2 (Pr3BiIr)? 1.061 states/eV per atom